An optimized crystal structure of CaYC3, computed with PBE-GGA.

Calculated values
E above lowest polymorph   0.000 eV per atom
Formation energy from the elements   9.0 eV/f.u.
Raw total energy   -5.42 eV/atom
Space group   Pm-3m
ρ   3000 kg/m3

Cell lengths 4.5033, 4.5033, 4.5033 Å; angles 90.00, 90.00, 90.00 degrees
Atoms (fractional coordinates):
Ca  0.0000  0.0000  0.0000
Y  0.5000  0.5000  0.5000
C  0.0000  0.5000  0.5000
C  0.5000  0.0000  0.5000
C  0.5000  0.5000  0.0000